1 | Computed, not measured: an optimized crystal structure of NaYFeSe3 at the PBE-GGA level of DFT.

Computed properties:
Its total magnetization is 4.000 μB/f.u.

Lattice parameters (Å, degrees): 17.7840 4.0621 8.2293 90.00 104.28 90.00
Last column: nearest neighbours and their distance in Å.
Space group C2/m (No. 12)
Inequivalent atoms, fractional coordinates:
1 Na 0.1347 0.0000 0.0717  6 Se 2.99-3.08
2 Y 0.1714 0.0000 0.5905  6 Se 2.82-2.95
3 Fe 0.0198 0.5000 0.7201  4 Se 2.41-2.69
4 Se 0.0000 0.0000 0.5000  4 Fe 2.69, 2 Y 2.95
5 Se 0.0000 0.5000 0.0000  2 Fe 2.41
6 Se 0.1641 0.5000 0.3473  3 Y 2.83-2.84, 2 Na 2.99
7 Se 0.1651 0.5000 0.8240  1 Fe 2.51



2 | Computed, not measured: an optimized crystal structure of NaYFeSe3 at the PBE-GGA level of DFT.

Computed properties:
Its total magnetization is 3.994 μB/f.u.

Lattice parameters (Å, degrees): 4.0319 13.4773 10.7594 90.00 90.00 90.00
Last column: nearest neighbours and their distance in Å.
Space group Cmcm (No. 63)
Inequivalent atoms, fractional coordinates:
1 Na 0.0000 0.2454 0.2500  6 Se 3.10-3.13
2 Y 0.0000 0.0000 0.0000  6 Se 2.85-2.90
3 Fe 0.0000 0.4707 0.7500  4 Se 2.41-2.49
4 Se 0.0000 0.0797 0.7500  2 Fe 2.49
5 Se 0.0000 0.3618 0.5722  1 Fe 2.41



Bottom line: 2, by a margin of 101 meV/atom.



1 | Computed, not measured: an optimized crystal structure of MgAgTeO at the PBE-GGA level of DFT.

Lattice parameters (Å, degrees): 2.9439 18.0323 5.6263 90.00 90.00 90.00
Last column: nearest neighbours and their distance in Å.
Space group Cmcm (No. 63)
Inequivalent atoms, fractional coordinates:
1 Mg 0.0000 0.0048 0.2500  4 O 2.04
2 Ag 0.0000 0.3342 0.2500  4 Te 2.83-3.08, 2 Ag 2.94
3 Te 0.0000 0.3157 0.7500  4 Ag 2.83-3.08, 2 Te 2.94
4 O 0.0000 0.5000 0.0000  4 Mg 2.04



2 | Computed, not measured: an optimized crystal structure of MgAgTeO at the PBE-GGA level of DFT.

Lattice parameters (Å, degrees): 6.3268 8.2702 5.9589 90.00 90.00 90.00
Last column: nearest neighbours and their distance in Å.
Space group Pca2_1 (No. 29)
Inequivalent atoms, fractional coordinates:
1 Mg 0.0811 0.1984 0.0000  1 O 1.93
2 Ag 0.2500 0.5805 0.2522  4 O 2.23-2.47
3 Te 0.0266 0.8471 0.0009  4 Mg 2.84-3.08, 2 Ag 3.01-3.02
4 O 0.0126 0.4254 0.0024  1 Mg 1.93



Bottom line: 1, by a margin of 466 meV/atom.



1 | Computed, not measured: an optimized crystal structure of Cu2Ag3 at the PBE-GGA level of DFT.

Lattice parameters (Å, degrees): 6.8547 2.8499 8.1896 90.00 103.61 90.00
Last column: nearest neighbours and their distance in Å.
Space group P2/m (No. 10)
Inequivalent atoms, fractional coordinates:
1 Cu 0.1020 0.0000 0.2964  9 Ag 2.72-2.85, 3 Cu 2.81-2.85
2 Cu 0.2953 0.0000 0.8975  8 Ag 2.71-2.76, 4 Cu 2.81-2.91
3 Ag 0.0000 0.5000 0.0000  8 Cu 2.76, 4 Ag 2.81-2.85
4 Ag 0.1898 0.5000 0.6069  6 Cu 2.72-2.85, 6 Ag 2.77-2.92
5 Ag 0.4005 0.5000 0.1866  6 Cu 2.71-2.81, 6 Ag 2.81-2.92
6 Ag 0.5000 0.0000 0.5000  2 Cu 2.84, 10 Ag 2.85-2.87



2 | Computed, not measured: an optimized crystal structure of Cu2Ag3 at the PBE-GGA level of DFT.

Lattice parameters (Å, degrees): 2.8535 2.8535 19.2114 90.00 90.00 90.00
Last column: nearest neighbours and their distance in Å.
Space group I4/mmm (No. 139)
Inequivalent atoms, fractional coordinates:
1 Cu 0.0000 0.0000 0.0966  8 Ag 2.74, 4 Cu 2.85
2 Ag 0.0000 0.0000 0.3068  4 Cu 2.74, 8 Ag 2.85-2.97
3 Ag 0.0000 0.0000 0.5000  8 Cu 2.74, 4 Ag 2.85



3 | Computed, not measured: an optimized crystal structure of Cu2Ag3 at the PBE-GGA level of DFT.

Lattice parameters (Å, degrees): 2.8746 2.8746 18.7443 90.00 90.00 90.00
Last column: nearest neighbours and their distance in Å.
Space group P4mm (No. 99)
Inequivalent atoms, fractional coordinates:
1 Cu 0.0000 0.0000 0.0000  4 Cu 2.50, 4 Ag 2.74
2 Cu 0.0000 0.0000 0.1544  4 Cu 2.49, 4 Ag 2.73
3 Cu 0.0000 0.0000 0.8052  8 Ag 2.73, 4 Cu 2.87
4 Cu 0.5000 0.5000 0.0773  8 Cu 2.49-2.50
5 Ag 0.0000 0.0000 0.3664  12 Ag 2.87-2.96
6 Ag 0.0000 0.0000 0.5944  12 Ag 2.87-2.95
7 Ag 0.5000 0.5000 0.2517  4 Cu 2.73, 8 Ag 2.87-2.96
8 Ag 0.5000 0.5000 0.4806  12 Ag 2.87-2.95
9 Ag 0.5000 0.5000 0.7084  4 Cu 2.73, 8 Ag 2.87-2.95
10 Ag 0.5000 0.5000 0.9024  8 Cu 2.73-2.74, 4 Ag 2.87



Bottom line: 3, by a margin of 30 meV/atom.



1 | Computed, not measured: an optimized crystal structure of NbAgF3 at the PBE-GGA level of DFT.

Computed properties:
Its total magnetization is 0.999 μB/f.u.

Lattice parameters (Å, degrees): 6.6541 6.6541 11.3642 90.00 90.00 120.00
Last column: nearest neighbours and their distance in Å.
Space group R-3c (No. 167, hexagonal axes)
Inequivalent atoms, fractional coordinates:
1 Nb 0.0000 0.0000 0.2500  3 F 1.94
2 Ag 0.0000 0.0000 0.0000  6 F 2.55, 2 Nb 2.84
3 F 0.0000 0.2911 0.2500  1 Nb 1.94



2 | Computed, not measured: an optimized crystal structure of NbAgF3 at the PBE-GGA level of DFT.

Computed properties:
Its total magnetization is 1.000 μB/f.u.

Lattice parameters (Å, degrees): 3.6080 3.6080 4.9083 90.00 90.00 90.00
Last column: nearest neighbours and their distance in Å.
Space group P4mm (No. 99)
Inequivalent atoms, fractional coordinates:
1 Nb 0.0000 0.0000 0.0000  5 F 2.01-2.11
2 Ag 0.5000 0.5000 0.6941  4 F 2.60
3 F 0.0000 0.0000 0.5897  1 Nb 2.01
4 F 0.0000 0.5000 0.2246  2 Nb 2.11



Bottom line: 2, by a margin of 226 meV/atom.